[1]
Entry from the Open Quantum Materials Database: an optimized crystal structure of ZnBiMo2 (GGA-PBE).

POSCAR file:
```
ZnBiMo2
1.0
0.000 3.304 3.304
3.304 0.000 3.304
3.304 3.304 0.000
Mo Bi Zn
2 1 1
Direct
0.000 0.000 0.000 Mo
0.750 0.750 0.750 Mo
0.500 0.500 0.500 Bi
0.250 0.250 0.250 Zn
```

Calculated values
Final energy, eV per formula unit: -24.4
Spin magnetization, Bohr magnetons per cell: 0.43

[2]
Entry from the Open Quantum Materials Database: an optimized crystal structure of NaZrAgTe2Se (GGA-PBE).

POSCAR file:
```
NaZrAgTe2Se
1.0
8.101 0.000 0.000
0.000 4.067 0.000
-3.092 0.000 9.749
Ag Te Se Na Zr
2 4 2 2 2
Direct
0.919 0.750 0.898 Ag
0.081 0.250 0.102 Ag
0.926 0.750 0.632 Te
0.296 0.750 0.050 Te
0.074 0.250 0.368 Te
0.704 0.250 0.950 Te
0.439 0.750 0.627 Se
0.561 0.250 0.373 Se
0.743 0.750 0.218 Na
0.257 0.250 0.782 Na
0.676 0.250 0.661 Zr
0.324 0.750 0.339 Zr
```

Calculated values
Final energy, eV per formula unit: -27.5
Spin magnetization, Bohr magnetons per cell: 0.01

[3]
Entry from the Open Quantum Materials Database: an optimized crystal structure of Hf2ZrAl3FeIr2 (GGA-PBE).

POSCAR file:
```
Hf2ZrAl3FeIr2
1.0
-2.050 1.826 2.066
-0.437 -5.553 4.475
5.156 4.881 0.802
Al Ir Zr Fe Hf
3 2 1 1 2
Direct
0.500 0.000 0.748 Al
0.500 0.253 0.253 Al
0.500 0.748 0.000 Al
0.500 0.668 0.330 Ir
0.500 0.330 0.668 Ir
0.000 0.602 0.602 Zr
0.000 0.002 0.002 Fe
0.000 0.000 0.397 Hf
0.000 0.397 0.000 Hf
```

Calculated values
Final energy, eV per formula unit: -72.4
Spin magnetization, Bohr magnetons per cell: 0.77

[4]
Entry from the Open Quantum Materials Database: an optimized crystal structure of PmLuNO (GGA-PBE).

POSCAR file:
```
PmLuNO
1.0
3.646 -1.755 0.192
-2.032 -3.996 2.058
-0.966 -2.680 -6.156
N Pm Lu O
2 2 2 2
Direct
0.000 0.439 0.695 N
0.000 0.939 0.305 N
0.000 0.939 0.663 Pm
0.000 0.439 0.337 Pm
0.500 0.941 0.176 Lu
0.500 0.441 0.824 Lu
0.500 0.935 0.854 O
0.500 0.435 0.146 O
```

Calculated values
Final energy, eV per formula unit: -31.2
Spin magnetization, Bohr magnetons per cell: 0.04

[5]
Entry from the Open Quantum Materials Database: an optimized crystal structure of Gd5C6Cl3 (GGA-PBE).

POSCAR file:
```
Gd5C6Cl3
1.0
0.000 3.725 0.000
10.858 -1.862 0.050
-2.409 -1.862 -12.852
Cl Gd C
6 10 12
Direct
0.744 0.716 0.771 Cl
0.920 0.591 0.249 Cl
0.658 0.327 0.989 Cl
0.256 0.284 0.229 Cl
0.080 0.409 0.751 Cl
0.342 0.673 0.011 Cl
0.559 0.726 0.392 Gd
0.610 0.117 0.103 Gd
0.024 0.187 0.861 Gd
0.107 0.601 0.613 Gd
0.793 0.967 0.619 Gd
0.893 0.399 0.387 Gd
0.207 0.033 0.381 Gd
0.390 0.883 0.897 Gd
0.976 0.813 0.139 Gd
0.441 0.274 0.608 Gd
0.010 0.047 0.973 C
0.603 0.978 0.227 C
0.990 0.953 0.027 C
0.180 0.877 0.483 C
0.836 0.212 0.460 C
0.397 0.022 0.773 C
0.493 0.456 0.530 C
0.164 0.788 0.540 C
0.507 0.544 0.470 C
0.580 0.883 0.277 C
0.820 0.123 0.517 C
0.420 0.117 0.723 C
```

Calculated values
Final energy, eV per formula unit: -96.9
Spin magnetization, Bohr magnetons per cell: 0.00

[6]
Entry from the Open Quantum Materials Database: an optimized crystal structure of HoPaAl (GGA-PBE).

POSCAR file:
```
HoPaAl
1.0
0.000 3.467 3.467
3.467 0.000 3.467
3.467 3.467 0.000
Ho Al Pa
1 1 1
Direct
0.250 0.250 0.250 Ho
0.000 0.000 0.000 Al
0.750 0.750 0.750 Pa
```

Calculated values
Final energy, eV per formula unit: -16.8
Spin magnetization, Bohr magnetons per cell: 0.07

[7]
Entry from the Open Quantum Materials Database: an optimized crystal structure of K2PtBr2Cl2 (GGA-PBE).

POSCAR file:
```
K2PtBr2Cl2
1.0
-3.196 -1.087 -2.610
0.253 -6.823 2.531
-4.819 1.740 5.175
Br Cl Pt K
2 2 1 2
Direct
0.000 0.763 0.765 Br
0.000 0.237 0.765 Br
0.000 0.228 0.231 Cl
0.000 0.772 0.231 Cl
0.000 0.000 0.003 Pt
0.500 0.000 0.481 K
0.500 0.500 0.025 K
```

Calculated values
Final energy, eV per formula unit: -23.9
Spin magnetization, Bohr magnetons per cell: 0.00

[8]
Entry from the Open Quantum Materials Database: an optimized crystal structure of LaHfNi (GGA-PBE).

POSCAR file:
```
LaHfNi
1.0
0.000 3.301 3.301
3.301 0.000 3.301
3.301 3.301 0.000
La Hf Ni
1 1 1
Direct
0.250 0.250 0.250 La
0.000 0.000 0.000 Hf
0.750 0.750 0.750 Ni
```

Calculated values
Spin magnetization, Bohr magnetons per cell: 0.00
Calculated formation energy, eV per formula unit: 1.713

[9]
Entry from the Open Quantum Materials Database: an optimized crystal structure of Li4Ge2PdAu (GGA-PBE).

POSCAR file:
```
Li4Ge2PdAu
1.0
4.339 0.000 0.000
0.000 4.339 0.000
0.000 0.000 6.138
Li Ge Pd Au
4 2 1 1
Direct
0.000 0.000 0.500 Li
0.500 0.500 0.000 Li
0.000 0.500 0.252 Li
0.500 0.000 0.748 Li
0.500 0.000 0.266 Ge
0.000 0.500 0.734 Ge
0.500 0.500 0.500 Pd
0.000 0.000 0.000 Au
```

Calculated values
Final energy, eV per formula unit: -29.5

[10]
Entry from the Open Quantum Materials Database: an optimized crystal structure of LiAgTePbSe2 (GGA-PBE).

POSCAR file:
```
LiAgTePbSe2
1.0
5.135 1.422 4.438
-6.224 -2.875 -1.042
5.235 -10.340 -2.745
Pb Ag Li Se Te
2 2 2 4 2
Direct
0.000 0.000 0.000 Pb
0.000 0.000 0.500 Pb
0.528 0.472 0.750 Ag
0.472 0.528 0.250 Ag
0.805 0.195 0.250 Li
0.195 0.805 0.750 Li
0.347 0.653 0.422 Se
0.347 0.653 0.078 Se
0.653 0.347 0.578 Se
0.653 0.347 0.922 Se
0.125 0.875 0.250 Te
0.875 0.125 0.750 Te
```

Calculated values
Final energy, eV per formula unit: -20.3

[11]
Entry from the Open Quantum Materials Database: an optimized crystal structure of DyErCo2C2 (GGA-PBE).

POSCAR file:
```
DyErCo2C2
1.0
3.607 0.000 0.000
0.000 3.607 0.000
0.000 0.000 6.825
Dy Co Er C
1 2 1 2
Direct
0.000 0.000 0.000 Dy
0.500 0.500 0.253 Co
0.500 0.500 0.747 Co
0.000 0.000 0.500 Er
0.000 0.500 0.253 C
0.500 0.000 0.747 C
```

Calculated values
Final energy, eV per formula unit: -43.8
Spin magnetization, Bohr magnetons per cell: 0.65

[12]
Entry from the Open Quantum Materials Database: an optimized crystal structure of TbGdIr2 (GGA-PBE).

POSCAR file:
```
TbGdIr2
1.0
-0.755 3.453 2.387
-5.294 -1.694 0.777
2.064 -3.697 6.000
Gd Ir Tb
2 4 2
Direct
0.000 0.871 0.677 Gd
0.000 0.129 0.177 Gd
0.000 0.615 0.039 Ir
0.500 0.882 0.961 Ir
0.000 0.385 0.539 Ir
0.500 0.118 0.461 Ir
0.500 0.629 0.323 Tb
0.500 0.371 0.823 Tb
```

Calculated values
Spin magnetization, Bohr magnetons per cell: 0.03
Calculated formation energy, eV per formula unit: -2.892